# RbSrCu2Cl8 GGA-PBE optimized geometry
data_RbSrCu2Cl8
_chemical_formula_sum 'Rb1 Sr1 Cu2 Cl8'
_cell_length_a 7.055
_cell_length_b 7.055
_cell_length_c 8.276
_cell_angle_alpha 115.23
_cell_angle_beta 115.23
_cell_angle_gamma 90.00
_space_group_name_H-M_alt 'P 1'
_space_group_IT_number 1
loop_
_space_group_symop_operation_xyz
'x,y,z'
loop_
_atom_site_label
_atom_site_type_symbol
_atom_site_fract_x
_atom_site_fract_y
_atom_site_fract_z
_atom_site_occupancy
Rb1 Rb 0.750 0.250 0.500 1
Sr1 Sr 0.000 0.000 0.000 1
Cu1 Cu 0.500 0.500 0.000 1
Cu2 Cu 0.250 0.750 0.500 1
Cl1 Cl 0.667 0.814 0.055 1
Cl2 Cl 0.388 0.241 0.055 1
Cl3 Cl 0.579 0.729 0.549 1
Cl4 Cl 0.970 0.820 0.549 1
Cl5 Cl 0.180 0.421 0.451 1
Cl6 Cl 0.271 0.030 0.451 1
Cl7 Cl 0.186 0.612 0.945 1
Cl8 Cl 0.759 0.333 0.945 1
# Space-group type: I-4, No. 82

***

# RbSrCuCl5 GGA-PBE optimized geometry
data_RbSrCuCl5
_chemical_formula_sum 'Rb2 Sr2 Cu2 Cl10'
_cell_length_a 7.702
_cell_length_b 7.702
_cell_length_c 10.309
_cell_angle_alpha 101.52
_cell_angle_beta 101.52
_cell_angle_gamma 112.76
_space_group_name_H-M_alt 'P 1'
_space_group_IT_number 1
loop_
_space_group_symop_operation_xyz
'x,y,z'
loop_
_atom_site_label
_atom_site_type_symbol
_atom_site_fract_x
_atom_site_fract_y
_atom_site_fract_z
_atom_site_occupancy
Rb1 Rb 0.336 0.664 0.250 1
Rb2 Rb 0.664 0.336 0.750 1
Sr1 Sr 0.000 0.000 0.500 1
Sr2 Sr 0.000 0.000 0.000 1
Cu1 Cu 0.674 0.326 0.250 1
Cu2 Cu 0.326 0.674 0.750 1
Cl1 Cl 0.087 0.913 0.250 1
Cl2 Cl 0.913 0.087 0.750 1
Cl3 Cl 0.867 0.293 0.113 1
Cl4 Cl 0.133 0.707 0.887 1
Cl5 Cl 0.707 0.133 0.387 1
Cl6 Cl 0.293 0.867 0.613 1
Cl7 Cl 0.699 0.581 0.419 1
Cl8 Cl 0.301 0.419 0.581 1
Cl9 Cl 0.419 0.301 0.081 1
Cl10 Cl 0.581 0.699 0.919 1
# Space-group type: C2/c, No. 15

***

# Rb4SrCu3Cl12 GGA-PBE optimized geometry
data_Rb4SrCu3Cl12
_chemical_formula_sum 'Rb4 Sr1 Cu3 Cl12'
_cell_length_a 8.847
_cell_length_b 8.847
_cell_length_c 8.847
_cell_angle_alpha 109.47
_cell_angle_beta 109.47
_cell_angle_gamma 109.47
_space_group_name_H-M_alt 'P 1'
_space_group_IT_number 1
loop_
_space_group_symop_operation_xyz
'x,y,z'
loop_
_atom_site_label
_atom_site_type_symbol
_atom_site_fract_x
_atom_site_fract_y
_atom_site_fract_z
_atom_site_occupancy
Rb1 Rb 0.500 0.500 0.500 1
Rb2 Rb 0.000 0.000 0.500 1
Rb3 Rb 0.500 0.000 0.000 1
Rb4 Rb 0.000 0.500 0.000 1
Sr1 Sr 0.000 0.000 0.000 1
Cu1 Cu 0.500 0.000 0.500 1
Cu2 Cu 0.500 0.500 0.000 1
Cu3 Cu 0.000 0.500 0.500 1
Cl1 Cl 0.250 0.500 0.750 1
Cl2 Cl 0.726 0.000 0.726 1
Cl3 Cl 0.274 0.000 0.274 1
Cl4 Cl 0.750 0.500 0.250 1
Cl5 Cl 0.726 0.726 0.000 1
Cl6 Cl 0.274 0.274 0.000 1
Cl7 Cl 0.750 0.250 0.500 1
Cl8 Cl 0.250 0.750 0.500 1
Cl9 Cl 0.500 0.250 0.750 1
Cl10 Cl 0.000 0.726 0.726 1
Cl11 Cl 0.500 0.750 0.250 1
Cl12 Cl 0.000 0.274 0.274 1
# Space-group type: Im-3m, No. 229

***

# RbSrCu2Cl6 GGA-PBE optimized geometry
data_RbSrCu2Cl6
_chemical_formula_sum 'Rb1 Sr1 Cu2 Cl6'
_cell_length_a 7.102
_cell_length_b 7.102
_cell_length_c 8.760
_cell_angle_alpha 66.09
_cell_angle_beta 66.09
_cell_angle_gamma 60.00
_space_group_name_H-M_alt 'P 1'
_space_group_IT_number 1
loop_
_space_group_symop_operation_xyz
'x,y,z'
loop_
_atom_site_label
_atom_site_type_symbol
_atom_site_fract_x
_atom_site_fract_y
_atom_site_fract_z
_atom_site_occupancy
Rb1 Rb 0.000 0.000 0.000 1
Sr1 Sr 0.500 0.500 0.500 1
Cu1 Cu 0.759 0.759 0.722 1
Cu2 Cu 0.241 0.241 0.278 1
Cl1 Cl 0.080 0.460 0.730 1
Cl2 Cl 0.730 0.080 0.730 1
Cl3 Cl 0.540 0.270 0.270 1
Cl4 Cl 0.920 0.540 0.270 1
Cl5 Cl 0.270 0.920 0.270 1
Cl6 Cl 0.460 0.730 0.730 1
# Space-group type: R-3, No. 148

***

# Rb2SrCuCl5 GGA-PBE optimized geometry
data_Rb2SrCuCl5
_chemical_formula_sum 'Rb4 Sr2 Cu2 Cl10'
_cell_length_a 4.279
_cell_length_b 9.723
_cell_length_c 13.850
_cell_angle_alpha 90.00
_cell_angle_beta 90.00
_cell_angle_gamma 102.71
_space_group_name_H-M_alt 'P 1'
_space_group_IT_number 1
loop_
_space_group_symop_operation_xyz
'x,y,z'
loop_
_atom_site_label
_atom_site_type_symbol
_atom_site_fract_x
_atom_site_fract_y
_atom_site_fract_z
_atom_site_occupancy
Rb1 Rb 0.878 0.756 0.843 1
Rb2 Rb 0.112 0.224 0.687 1
Rb3 Rb 0.122 0.244 0.343 1
Rb4 Rb 0.888 0.776 0.187 1
Sr1 Sr 0.810 0.620 0.528 1
Sr2 Sr 0.190 0.380 0.028 1
Cu1 Cu 0.551 0.102 0.922 1
Cu2 Cu 0.449 0.898 0.422 1
Cl1 Cl 0.340 0.679 0.017 1
Cl2 Cl 0.682 0.364 0.884 1
Cl3 Cl 0.498 0.997 0.774 1
Cl4 Cl 0.302 0.605 0.670 1
Cl5 Cl 0.963 0.925 0.499 1
Cl6 Cl 0.660 0.321 0.517 1
Cl7 Cl 0.318 0.636 0.384 1
Cl8 Cl 0.502 0.003 0.274 1
Cl9 Cl 0.698 0.395 0.170 1
Cl10 Cl 0.037 0.075 0.999 1
# Space-group type: Cmc2_1, No. 36

***

# Rb2SrCu2Cl7 GGA-PBE optimized geometry
data_Rb2SrCu2Cl7
_chemical_formula_sum 'Rb2 Sr1 Cu2 Cl7'
_cell_length_a 4.939
_cell_length_b 4.939
_cell_length_c 13.220
_cell_angle_alpha 79.25
_cell_angle_beta 79.25
_cell_angle_gamma 89.99
_space_group_name_H-M_alt 'P 1'
_space_group_IT_number 1
loop_
_space_group_symop_operation_xyz
'x,y,z'
loop_
_atom_site_label
_atom_site_type_symbol
_atom_site_fract_x
_atom_site_fract_y
_atom_site_fract_z
_atom_site_occupancy
Rb1 Rb 0.820 0.820 0.360 1
Rb2 Rb 0.180 0.180 0.640 1
Sr1 Sr 0.000 0.000 0.000 1
Cu1 Cu 0.596 0.596 0.809 1
Cu2 Cu 0.404 0.404 0.191 1
Cl1 Cl 0.500 0.500 0.000 1
Cl2 Cl 0.311 0.311 0.379 1
Cl3 Cl 0.689 0.689 0.621 1
Cl4 Cl 0.916 0.416 0.168 1
Cl5 Cl 0.416 0.916 0.168 1
Cl6 Cl 0.584 0.084 0.832 1
Cl7 Cl 0.084 0.584 0.832 1
# Space-group type: I4/mmm, No. 139

***

# RbTbCuCl5 GGA-PBE optimized geometry
data_RbTbCuCl5
_chemical_formula_sum 'Rb2 Tb2 Cu2 Cl10'
_cell_length_a 7.448
_cell_length_b 7.448
_cell_length_c 10.052
_cell_angle_alpha 103.47
_cell_angle_beta 103.47
_cell_angle_gamma 106.66
_space_group_name_H-M_alt 'P 1'
_space_group_IT_number 1
loop_
_space_group_symop_operation_xyz
'x,y,z'
loop_
_atom_site_label
_atom_site_type_symbol
_atom_site_fract_x
_atom_site_fract_y
_atom_site_fract_z
_atom_site_occupancy
Rb1 Rb 0.347 0.653 0.250 1
Rb2 Rb 0.653 0.347 0.750 1
Tb1 Tb 0.000 0.000 0.500 1
Tb2 Tb 0.000 0.000 0.000 1
Cu1 Cu 0.690 0.310 0.250 1
Cu2 Cu 0.310 0.690 0.750 1
Cl1 Cl 0.075 0.925 0.250 1
Cl2 Cl 0.925 0.075 0.750 1
Cl3 Cl 0.898 0.304 0.109 1
Cl4 Cl 0.102 0.696 0.891 1
Cl5 Cl 0.696 0.102 0.391 1
Cl6 Cl 0.304 0.898 0.609 1
Cl7 Cl 0.763 0.623 0.421 1
Cl8 Cl 0.237 0.377 0.579 1
Cl9 Cl 0.377 0.237 0.079 1
Cl10 Cl 0.623 0.763 0.921 1
# Space-group type: C2/c, No. 15

***

# RbTbCu2Cl8 GGA-PBE optimized geometry
data_RbTbCu2Cl8
_chemical_formula_sum 'Rb1 Tb1 Cu2 Cl8'
_cell_length_a 6.498
_cell_length_b 6.498
_cell_length_c 8.729
_cell_angle_alpha 111.85
_cell_angle_beta 111.85
_cell_angle_gamma 90.00
_space_group_name_H-M_alt 'P 1'
_space_group_IT_number 1
loop_
_space_group_symop_operation_xyz
'x,y,z'
loop_
_atom_site_label
_atom_site_type_symbol
_atom_site_fract_x
_atom_site_fract_y
_atom_site_fract_z
_atom_site_occupancy
Rb1 Rb 0.000 0.000 0.000 1
Tb1 Tb 0.750 0.250 0.500 1
Cu1 Cu 0.500 0.500 0.000 1
Cu2 Cu 0.250 0.750 0.500 1
Cl1 Cl 0.702 0.854 0.175 1
Cl2 Cl 0.473 0.321 0.175 1
Cl3 Cl 0.587 0.641 0.614 1
Cl4 Cl 0.027 0.973 0.614 1
Cl5 Cl 0.027 0.413 0.386 1
Cl6 Cl 0.359 0.973 0.386 1
Cl7 Cl 0.146 0.527 0.825 1
Cl8 Cl 0.679 0.298 0.825 1
# Space-group type: I-4, No. 82

***

# RbTbCuCl6 GGA-PBE optimized geometry
data_RbTbCuCl6
_chemical_formula_sum 'Rb1 Tb1 Cu1 Cl6'
_cell_length_a 7.181
_cell_length_b 6.582
_cell_length_c 7.358
_cell_angle_alpha 86.65
_cell_angle_beta 83.84
_cell_angle_gamma 56.96
_space_group_name_H-M_alt 'P 1'
_space_group_IT_number 1
loop_
_space_group_symop_operation_xyz
'x,y,z'
loop_
_atom_site_label
_atom_site_type_symbol
_atom_site_fract_x
_atom_site_fract_y
_atom_site_fract_z
_atom_site_occupancy
Rb1 Rb 0.028 0.944 0.000 1
Tb1 Tb 0.681 0.638 0.500 1
Cu1 Cu 0.332 0.334 0.500 1
Cl1 Cl 0.989 0.381 0.247 1
Cl2 Cl 0.368 0.037 0.702 1
Cl3 Cl 0.630 0.381 0.753 1
Cl4 Cl 0.009 0.625 0.665 1
Cl5 Cl 0.367 0.625 0.336 1
Cl6 Cl 0.595 0.037 0.298 1
# Space-group type: P1, No. 1

***

# RbCuTeCl6 GGA-PBE optimized geometry
data_RbCuTeCl6
_chemical_formula_sum 'Rb1 Cu1 Te1 Cl6'
_cell_length_a 8.532
_cell_length_b 6.629
_cell_length_c 7.032
_cell_angle_alpha 76.61
_cell_angle_beta 68.91
_cell_angle_gamma 49.91
_space_group_name_H-M_alt 'P 1'
_space_group_IT_number 1
loop_
_space_group_symop_operation_xyz
'x,y,z'
loop_
_atom_site_label
_atom_site_type_symbol
_atom_site_fract_x
_atom_site_fract_y
_atom_site_fract_z
_atom_site_occupancy
Rb1 Rb 0.887 0.226 0.000 1
Cu1 Cu 0.682 0.634 0.500 1
Te1 Te 0.336 0.329 0.500 1
Cl1 Cl 0.041 0.326 0.461 1
Cl2 Cl 0.432 0.932 0.773 1
Cl3 Cl 0.634 0.324 0.539 1
Cl4 Cl 0.060 0.649 0.778 1
Cl5 Cl 0.292 0.648 0.221 1
Cl6 Cl 0.636 0.932 0.227 1
# Space-group type: P1, No. 1

***

# RbCu2TeCl8 GGA-PBE optimized geometry
data_RbCu2TeCl8
_chemical_formula_sum 'Rb1 Cu2 Te1 Cl8'
_cell_length_a 7.979
_cell_length_b 7.523
_cell_length_c 8.497
_cell_angle_alpha 68.50
_cell_angle_beta 72.53
_cell_angle_gamma 54.77
_space_group_name_H-M_alt 'P 1'
_space_group_IT_number 1
loop_
_space_group_symop_operation_xyz
'x,y,z'
loop_
_atom_site_label
_atom_site_type_symbol
_atom_site_fract_x
_atom_site_fract_y
_atom_site_fract_z
_atom_site_occupancy
Rb1 Rb 0.000 0.000 0.500 1
Cu1 Cu 0.547 0.513 0.658 1
Cu2 Cu 0.453 0.487 0.342 1
Te1 Te 0.000 0.000 0.000 1
Cl1 Cl 0.168 0.613 0.229 1
Cl2 Cl 0.821 0.878 0.904 1
Cl3 Cl 0.682 0.155 0.229 1
Cl4 Cl 0.832 0.387 0.771 1
Cl5 Cl 0.179 0.122 0.096 1
Cl6 Cl 0.318 0.845 0.771 1
Cl7 Cl 0.659 0.582 0.371 1
Cl8 Cl 0.341 0.418 0.629 1
# Space-group type: P-1, No. 2

***

# Rb2TiCuCl GGA-PBE optimized geometry
data_Rb2TiCuCl
_chemical_formula_sum 'Rb2 Ti1 Cu1 Cl1'
_cell_length_a 7.077
_cell_length_b 4.429
_cell_length_c 7.077
_cell_angle_alpha 90.00
_cell_angle_beta 90.00
_cell_angle_gamma 90.00
_space_group_name_H-M_alt 'P 1'
_space_group_IT_number 1
loop_
_space_group_symop_operation_xyz
'x,y,z'
loop_
_atom_site_label
_atom_site_type_symbol
_atom_site_fract_x
_atom_site_fract_y
_atom_site_fract_z
_atom_site_occupancy
Cl1 Cl 0.000 0.500 0.000 1
Cu1 Cu 0.000 0.000 0.000 1
Rb1 Rb 0.000 0.000 0.500 1
Rb2 Rb 0.500 0.000 0.000 1
Ti1 Ti 0.500 0.500 0.500 1
# Space-group type: P4/mmm, No. 123

***

Number 1: energy -3.2576 eV per atom. Number 2: energy -3.5705 eV per atom. Number 3: energy -3.3424 eV per atom. Number 4: energy -3.5550 eV per atom. Number 5: energy -3.6672 eV per atom. Number 6: energy -3.5036 eV per atom. Number 7: energy -4.1130 eV per atom. Number 8: energy -3.6231 eV per atom. Number 9: energy -3.9302 eV per atom. Number 10: energy -3.0252 eV per atom. Number 11: energy -3.0228 eV per atom. Number 12: energy -2.6203 eV per atom.